Record 1
# TePH3 | Alexandria via LeMat-Bulk | GGA-PBE | optimized geometry
data_TePH3
_chemical_formula_sum 'Te1 P1 H3'
_space_group_name_H-M_alt 'P m -3 m'
_space_group_IT_number 221
_space_group_name_Hall '-P 4 2 3'
_cell_length_a 3.9744
_cell_length_b 3.9744
_cell_length_c 3.9744
_cell_angle_alpha 90.00
_cell_angle_beta 90.00
_cell_angle_gamma 90.00
loop_
_atom_site_label
_atom_site_fract_x
_atom_site_fract_y
_atom_site_fract_z
Te1 0.0000 0.0000 0.0000
P1 0.5000 0.5000 0.5000
H1 0.0000 0.0000 0.5000
# DFT total energy = -13.38 eV for the cell shown
# Crystal system = cubic
# Total magnetic moment = 1.582 μB/f.u.

=====

Record 2
# Os2RhPb | Alexandria via LeMat-Bulk | GGA-PBE | optimized geometry
data_Os2RhPb
_chemical_formula_sum 'Os4 Rh2 Pb2'
_space_group_name_H-M_alt 'C 1 2/m 1'
_space_group_IT_number 12
_cell_length_a 9.2462
_cell_length_b 2.9196
_cell_length_c 5.0124
_cell_angle_alpha 90.00
_cell_angle_beta 98.47
_cell_angle_gamma 90.00
loop_
_space_group_symop_operation_xyz
'x,y,z'
'-x,-y,-z'
'-x,y,-z'
'x,-y,z'
'x+1/2,y+1/2,z'
'-x+1/2,-y+1/2,-z'
'-x+1/2,y+1/2,-z'
'x+1/2,-y+1/2,z'
loop_
_atom_site_label
_atom_site_fract_x
_atom_site_fract_y
_atom_site_fract_z
Os1 0.2365 0.0000 0.2099
Rh1 0.0000 0.5000 0.0000
Pb1 0.0000 0.0000 0.5000
# DFT total energy = -61.96 eV for the cell shown
# Crystal system = monoclinic
# Energy relative to the elements = 0.634 eV per atom
# Total magnetic moment = 0.000 μB/f.u.

=====

Record 3
# Ca2Ga2SnRh5 | Alexandria via LeMat-Bulk | GGA-PBE | optimized geometry
data_Ca2Ga2SnRh5
_chemical_formula_sum 'Ca4 Ga4 Sn2 Rh10'
_space_group_name_H-M_alt 'P 4/m b m'
_space_group_IT_number 127
_space_group_name_Hall '-P 4 2ab'
_cell_length_a 10.0810
_cell_length_b 10.0810
_cell_length_c 3.4424
_cell_angle_alpha 90.00
_cell_angle_beta 90.00
_cell_angle_gamma 90.00
loop_
_atom_site_label
_atom_site_fract_x
_atom_site_fract_y
_atom_site_fract_z
Ca1 0.1735 0.3265 0.0000
Ga1 0.1253 0.6253 0.0000
Sn1 0.0000 0.0000 0.0000
Rh1 0.0000 0.5000 0.5000
Rh2 0.0657 0.7953 0.5000
# DFT total energy = -114.20 eV for the cell shown
# Crystal system = tetragonal
# Energy relative to the elements = -0.628 eV per atom
# Total magnetic moment = 0.000 μB/f.u.

=====

Record 4
# Pm3Zn3Ni8 | Alexandria via LeMat-Bulk | GGA-PBE | optimized geometry
data_Pm3Zn3Ni8
_chemical_formula_sum 'Pm6 Zn6 Ni16'
_space_group_name_H-M_alt 'I m m m'
_space_group_IT_number 71
_space_group_name_Hall '-I 2 2'
_cell_length_a 4.0870
_cell_length_b 9.0416
_cell_length_c 12.3485
_cell_angle_alpha 90.00
_cell_angle_beta 90.00
_cell_angle_gamma 90.00
loop_
_atom_site_label
_atom_site_fract_x
_atom_site_fract_y
_atom_site_fract_z
Pm1 0.0000 0.0000 0.0000
Pm2 0.0000 0.0000 0.2963
Zn1 0.0000 0.2287 0.5000
Zn2 0.0000 0.5000 0.0000
Ni1 0.0000 0.2757 0.1095
Ni2 0.0000 0.3124 0.3044
# DFT total energy = -136.85 eV for the cell shown
# Crystal system = orthorhombic
# Energy relative to the elements = -0.293 eV per atom
# Total magnetic moment = 0.000 μB/f.u.